Below is an optimized crystal structure of LaTl2As, with properties calculated at the PBE level.

## Properties
The density of states at the Fermi level comes out at 2.31 states/eV/cell. The calculation puts the calculated total energy at -16.46 eV/cell. The value obtained for the size of the total moment is 0.0 μB/f.u. The calculation puts the energy above the most stable polymorph in this dataset at 0 meV/atom. Its space group is Pm. The crystal system is monoclinic. As for the energy of formation: -538 meV/atom.

a = 4.2008 Å, b = 4.4756 Å, c = 6.7365 Å
α = 70.41°, β = 90.00°, γ = 90.00°
Closest atoms and distances in Å follow each position.
Sites, in units of the cell vectors:
Tl 0.0000 0.0363 0.0571  1 As 2.95, 4 Tl 3.21
Tl 0.5000 0.4626 0.2034  4 Tl 3.21, 2 As 3.24, 1 La 3.53
As 0.0000 0.2642 0.5920  3 Tl 2.95-3.24, 4 La 3.09
La 0.5000 0.7368 0.6474  4 As 3.09